# V4Co2Os GGA-PBE optimized geometry
# ΔE_f in eV/atom: 1.032
data_V4Co2Os
_chemical_formula_sum 'V8 Co4 Os2'
_space_group_name_H-M_alt 'I 4/m m m'
_space_group_IT_number 139
_space_group_name_Hall '-I 4 2'
_cell_length_a 4.535
_cell_length_b 4.535
_cell_length_c 11.643
_cell_angle_alpha 90.00
_cell_angle_beta 90.00
_cell_angle_gamma 90.00
loop_
_atom_site_label
_atom_site_type_symbol
_atom_site_fract_x
_atom_site_fract_y
_atom_site_fract_z
V1 V 0.000 0.000 0.208
V2 V 0.000 0.500 0.000
Co1 Co 0.000 0.000 0.395
Os1 Os 0.000 0.000 0.000